BaHgSe2Br | the Alexandria database | GGA-PBEsol | relaxed; calculated total energy = -2.549 eV/atom
1.0
6.3926 0.0000 0.0000
0.0000 6.3926 0.0000
0.0000 0.0000 6.1344
Ba Hg Se Br
1 1 2 1
Cartesian
0.0000 0.0000 0.0000
3.1963 3.1963 3.0672
0.0000 3.1963 0.0000
3.1963 0.0000 0.0000
0.0000 0.0000 3.0672

=====

Cr3Br | the Alexandria database | GGA-PBEsol | relaxed; excess energy over the best structure of this formula in the dataset = 168 meV per atom; calculated total energy = -7.207 eV/atom
1.0
0.0000 2.9273 2.9273
2.9273 0.0000 2.9273
2.9273 2.9273 0.0000
Cr Br
3 1
Cartesian
0.0000 0.0000 0.0000
1.4637 1.4637 1.4637
4.3910 4.3910 4.3910
2.9273 2.9273 2.9273

=====

PbAu3C | the Alexandria database | GGA-PBEsol | relaxed; formation energy = 3.25 eV/f.u.; calculated total energy = -4.433 eV/atom
1.0
4.4403 0.0000 0.0000
0.0000 4.4403 0.0000
0.0000 0.0000 4.4403
Pb Au C
1 3 1
Cartesian
0.0000 0.0000 0.0000
0.0000 2.2201 2.2201
2.2201 0.0000 2.2201
2.2201 2.2201 0.0000
2.2201 2.2201 2.2201